A plane-wave DFT calculation with PBE with a Hubbard U was carried out for a relaxed Ba4HoV3O12 crystal.

```
Ba4HoV3O12
1.0
-2.5900 5.8045 3.1413
-0.5805 -5.5278 4.4016
6.8270 1.0315 -1.6111
Ho V O Ba
1 3 12 4
Direct
0.0000 0.0000 0.0000
0.0000 0.5000 0.5000
0.5000 0.5000 0.0000
0.5000 0.0000 0.5000
0.7297 0.7297 0.0000
0.2703 0.0000 0.2703
0.7500 0.5000 0.2500
0.2703 0.2703 0.0000
0.7500 0.2500 0.5000
0.5000 0.2500 0.7500
0.5000 0.7500 0.2500
0.0000 0.2703 0.2703
0.7297 0.0000 0.7297
0.2500 0.7500 0.5000
0.0000 0.7297 0.7297
0.2500 0.5000 0.7500
0.5000 0.0000 0.0000
0.5000 0.5000 0.5000
0.0000 0.5000 0.0000
0.0000 0.0000 0.5000
```

Results
D(E_F)   0.484 states/eV/atom
Theoretical density   6.410 g cm⁻³
DFT total energy   -7.263 eV/atom



A plane-wave DFT calculation with PBE with a Hubbard U was carried out for a relaxed BaHoVO4 crystal.

```
BaHoVO4
1.0
6.0085 0.0000 0.0056
0.0000 5.8595 0.0000
-2.3568 0.0000 6.8298
V O Ba Ho
2 8 2 2
Direct
0.2807 0.7500 0.3377
0.7193 0.2500 0.6623
0.9700 0.4799 0.6919
0.0300 0.9799 0.3081
0.5220 0.2500 0.8221
0.9700 0.0201 0.6919
0.5122 0.7500 0.5810
0.0300 0.5201 0.3081
0.4878 0.2500 0.4190
0.4780 0.7500 0.1779
0.2788 0.2500 0.0578
0.7212 0.7500 0.9422
0.8230 0.7500 0.4656
0.1770 0.2500 0.5344
```

Results
Theoretical density   5.760 g cm⁻³
DFT total energy   -7.475 eV/atom



A plane-wave DFT calculation with PBE with a Hubbard U was carried out for a relaxed BaHoWO6 crystal.

```
BaHoWO6
1.0
-1.7941 0.7465 -5.3469
-5.5360 0.7690 -1.0618
0.6617 5.5214 0.5489
Ba Ho O W
1 1 6 1
Direct
0.0000 0.0000 0.0000
0.6666 0.6667 0.5000
0.3630 0.0371 0.6992
0.0371 0.3631 0.3008
0.3631 0.5998 0.3008
0.5999 0.0370 0.3008
0.5998 0.3631 0.6992
0.0370 0.5999 0.6992
0.3333 0.3334 0.5000
```

Results
D(E_F)   0.756 states/eV/atom
Theoretical density   6.171 g cm⁻³
DFT total energy   -7.350 eV/atom



> Which of these has the lowest theoretical density?

BaHoVO4